{"formula": "AlMo2CO", "functional": "GGA+U", "state": "optimized geometry", "total_energy_ev_per_atom": -4.618, "n_ef_per_ev_cell": 3.5, "spacegroup": "P4/mmm", "lattice_angstrom": [[5.233, 0.000, 0.000], [0.000, 5.233, 0.000], [0.000, 0.000, 3.598]], "species": ["Al", "Mo", "Mo", "C", "O"], "fractional_positions": [[0.000, 0.000, 0.000], [0.000, 0.500, 0.000], [0.500, 0.000, 0.000], [0.000, 0.000, 0.500], [0.500, 0.500, 0.500]]}